# 1
Computed, not measured: KV3Zn after structural relaxation at the GGA-PBE level of DFT.

## Properties
Space group: Pm-3m, No. 221
Energy relative to the elements (eV/atom): 2.360
N(E_F) (states/eV/f.u.): 1.99
Calculated density (g/cm3): 5.46

Unit cell a=4.2771 b=4.2771 c=4.2771 alpha=90.00 beta=90.00 gamma=90.00
Positions (direct):
Zn 0.5000 0.5000 0.5000
K 0.0000 0.0000 0.0000
V 0.0000 0.5000 0.0000
V 0.0000 0.0000 0.5000
V 0.5000 0.0000 0.0000

=====

# 2
Computed, not measured: KVZn after structural relaxation at the GGA-PBE level of DFT.

## Properties
Space group: P1, No. 1
Energy relative to the elements (eV/atom): 0.445
N(E_F) (states/eV/f.u.): 1.58
Calculated density (g/cm3): 2.75

Unit cell a=11.5395 b=4.3914 c=4.3929 alpha=120.10 beta=78.78 gamma=90.20
Last column: magnetic moment on the atom in μB.
Positions (direct):
Zn 0.7557 0.6186 0.9724  -0.02
Zn 0.9371 0.2247 0.1834  -0.02
K 0.1329 0.4919 0.7173  0.00
K 0.4910 0.0401 0.8172  -0.01
V 0.7191 0.2978 0.3303  -2.00
V 0.8251 0.9287 0.5922  2.11